[1]
The following is a PBE calculation of an optimized crystal structure of SmHoTm2N4, from the Alexandria database.

Lattice parameters (Å, degrees): 5.996 3.462 5.997 90.00 109.43 90.00
Space group P2/m (No. 10)
Unique sites:
Sm  0.000  0.000  0.000 (multiplicity 1)
Ho  0.500  0.500  0.000 (multiplicity 1)
Tm  0.000  0.500  0.500 (multiplicity 1)
Tm  0.500  0.000  0.500 (multiplicity 1)
N  0.252  0.000  0.744 (multiplicity 2)
N  0.257  0.500  0.259 (multiplicity 2)

## Properties
**Formation energy from raw total energies**: -1.702 eV/atom
**Raw total energy**: -8.14 eV/atom
**Density of states at the Fermi level**: 0.03 states/eV per atom
**M_tot**: 0.000 μB per formula unit


[2]
The following is a PBE calculation of an optimized crystal structure of SmHo2TmN4, from the Alexandria database.

Lattice parameters (Å, degrees): 6.017 3.475 6.018 90.00 109.44 90.00
Space group P2/m (No. 10)
Unique sites:
Sm  0.000  0.000  0.000 (multiplicity 1)
Ho  0.500  0.000  0.500 (multiplicity 1)
Ho  0.500  0.500  0.000 (multiplicity 1)
Tm  0.000  0.500  0.500 (multiplicity 1)
N  0.251  0.000  0.745 (multiplicity 2)
N  0.255  0.500  0.257 (multiplicity 2)

## Properties
**Formation energy from raw total energies**: -1.682 eV/atom
**Raw total energy**: -8.14 eV/atom
**Density of states at the Fermi level**: 0.03 states/eV per atom
**M_tot**: 0.000 μB per formula unit


[3]
The following is a PBE calculation of an optimized crystal structure of SmHo2UN4, from the Alexandria database.

Lattice parameters (Å, degrees): 5.996 3.475 6.029 90.00 109.05 90.00
Space group P2/m (No. 10)
Unique sites:
Sm  0.000  0.000  0.000 (multiplicity 1)
Ho  0.500  0.000  0.500 (multiplicity 1)
Ho  0.500  0.500  0.000 (multiplicity 1)
U  0.000  0.500  0.500 (multiplicity 1)
N  0.244  0.500  0.272 (multiplicity 2)
N  0.245  0.000  0.737 (multiplicity 2)

## Properties
**Formation energy from raw total energies**: -1.576 eV/atom
**Raw total energy**: -8.88 eV/atom
**Density of states at the Fermi level**: 0.55 states/eV per atom
**M_tot**: 1.498 μB per formula unit


[4]
The following is a PBE calculation of an optimized crystal structure of SmHo2VN4, from the Alexandria database.

Lattice parameters (Å, degrees): 3.364 11.631 11.719 90.00 90.00 90.00
Space group Cmcm (No. 63)
Unique sites:
Sm  0.000  0.086  0.250 (multiplicity 4)
Ho  0.000  0.370  0.042 (multiplicity 8)
V  0.000  0.174  0.750 (multiplicity 4)
N  0.000  0.000  0.000 (multiplicity 4)
N  0.000  0.265  0.625 (multiplicity 8)
N  0.000  0.426  0.250 (multiplicity 4)

## Properties
**Formation energy from raw total energies**: -1.377 eV/atom
**Raw total energy**: -8.41 eV/atom
**Density of states at the Fermi level**: 0.41 states/eV per atom
**M_tot**: 0.005 μB per formula unit


[5]
The following is a PBE calculation of an optimized crystal structure of SmYHo2N4, from the Alexandria database.

Lattice parameters (Å, degrees): 6.048 3.493 6.049 90.00 109.44 90.00
Space group P2/m (No. 10)
Unique sites:
Sm  0.000  0.000  0.000 (multiplicity 1)
Y  0.500  0.500  0.000 (multiplicity 1)
Ho  0.000  0.500  0.500 (multiplicity 1)
Ho  0.500  0.000  0.500 (multiplicity 1)
N  0.251  0.000  0.746 (multiplicity 2)
N  0.255  0.500  0.257 (multiplicity 2)

## Properties
**Formation energy from raw total energies**: -1.656 eV/atom
**Raw total energy**: -8.36 eV/atom
**Density of states at the Fermi level**: 0.03 states/eV per atom
**M_tot**: 0.000 μB per formula unit


[6]
The following is a PBE calculation of an optimized crystal structure of SmYHoN3, from the Alexandria database.

Lattice parameters (Å, degrees): 6.017 3.479 9.060 90.00 101.49 90.00
Space group P2_1/m (No. 11)
Unique sites:
Sm  0.157  0.250  0.198 (multiplicity 2)
Y  0.269  0.750  0.545 (multiplicity 2)
Ho  0.348  0.250  0.861 (multiplicity 2)
N  0.039  0.250  0.669 (multiplicity 2)
N  0.253  0.750  0.995 (multiplicity 2)
N  0.463  0.750  0.344 (multiplicity 2)

## Properties
**Formation energy from raw total energies**: -1.431 eV/atom
**Raw total energy**: -8.22 eV/atom
**M_tot**: 0.000 μB per formula unit


[7]
The following is a PBE calculation of an optimized crystal structure of Sm2YHoN4, from the Alexandria database.

Lattice parameters (Å, degrees): 6.106 3.527 6.109 90.00 109.43 90.00
Space group P2/m (No. 10)
Unique sites:
Sm  0.000  0.000  0.000 (multiplicity 1)
Sm  0.500  0.500  0.000 (multiplicity 1)
Y  0.000  0.500  0.500 (multiplicity 1)
Ho  0.500  0.000  0.500 (multiplicity 1)
N  0.249  0.000  0.743 (multiplicity 2)
N  0.254  0.500  0.258 (multiplicity 2)

## Properties
**Formation energy from raw total energies**: -1.591 eV/atom
**Raw total energy**: -8.31 eV/atom
**Density of states at the Fermi level**: 0.03 states/eV per atom
**M_tot**: 0.000 μB per formula unit


[8]
The following is a PBE calculation of an optimized crystal structure of SmHoZrN3, from the Alexandria database.

Lattice parameters (Å, degrees): 5.802 3.403 8.930 90.00 101.35 90.00
Space group P2_1/m (No. 11)
Unique sites:
Sm  0.161  0.250  0.200 (multiplicity 2)
Ho  0.351  0.250  0.860 (multiplicity 2)
Zr  0.265  0.750  0.542 (multiplicity 2)
N  0.046  0.250  0.649 (multiplicity 2)
N  0.251  0.750  0.004 (multiplicity 2)
N  0.465  0.750  0.356 (multiplicity 2)

## Properties
**Formation energy from raw total energies**: -1.455 eV/atom
**Raw total energy**: -8.59 eV/atom
**Density of states at the Fermi level**: 0.36 states/eV per atom
**M_tot**: 0.000 μB per formula unit